VASP calculation (PBE-GGA) on an optimized crystal structure of Pr2Er3In.

V = 372.4 Å³ per cell
ΔE_f = -0.13 eV/atom
Energy relative to the lowest polymorph listed for this composition = 8 meV per atom
VASP energy = -4.464 eV/atom

Lattice parameters (Å, degrees): 5.138 9.443 9.443 111.68 105.79 105.79
Element x y z (fractional)
Er 0.545 0.373 0.216
Er 0.500 0.000 0.500
Er 0.955 0.784 0.627
In 0.250 0.605 0.395
In 0.750 0.395 0.605
Er 0.045 0.216 0.373
Pr 0.750 0.775 0.225
Pr 0.750 0.076 0.924
Er 0.455 0.627 0.784
Er 0.000 0.500 0.000
Pr 0.250 0.225 0.775
Pr 0.250 0.924 0.076


VASP calculation (PBE-GGA) on an optimized crystal structure of Pr14YTm.

V = 569.7 Å³ per cell
ΔE_f = 0.01 eV/atom
VASP energy = -4.853 eV/atom

Lattice parameters (Å, degrees): 7.384 7.384 10.448 90.00 90.00 90.00
Element x y z (fractional)
Pr 0.375 0.125 0.500
Pr 0.124 0.374 0.247
Pr 0.626 0.374 0.247
Pr 0.875 0.625 0.500
Y 0.375 0.625 0.000
Pr 0.626 0.374 0.753
Tm 0.875 0.125 0.000
Pr 0.124 0.876 0.247
Pr 0.875 0.625 0.000
Pr 0.375 0.125 0.000
Pr 0.124 0.876 0.753
Pr 0.375 0.625 0.500
Pr 0.626 0.876 0.753
Pr 0.124 0.374 0.753
Pr 0.875 0.125 0.500
Pr 0.626 0.876 0.247


VASP calculation (PBE-GGA) on an optimized crystal structure of ZrMnRu.

V = 49.5 Å³ per cell
ΔE_f = -0.10 eV/atom
Energy relative to the lowest polymorph listed for this composition = 108 meV per atom
VASP energy = -9.095 eV/atom

Lattice parameters (Å, degrees): 5.306 5.306 3.212 72.38 72.38 35.24
Element x y z (fractional)
Mn 0.988 0.988 0.012
Ru 0.339 0.339 0.661
Zr 0.672 0.672 0.328


VASP calculation (PBE-GGA) on an optimized crystal structure of Al2P2Pb.

V = 100.6 Å³ per cell
ΔE_f = 0.00 eV/atom
Energy relative to the lowest polymorph listed for this composition = 67 meV per atom
VASP energy = -4.407 eV/atom

Lattice parameters (Å, degrees): 4.729 4.729 5.605 65.05 65.05 90.00
Element x y z (fractional)
Pb 0.000 0.000 0.000
P 0.250 0.750 0.500
Al 0.353 0.353 0.294
Al 0.647 0.647 0.706
P 0.750 0.250 0.500